1.
A relaxed CsTmU crystal, computed with PBE-GGA.

Cell: 6.023 6.023 6.023 Å, 60.00 60.00 60.00°
Positions (direct):
Cs1 0.250 0.250 0.250
Tm1 0.000 0.000 0.000
U1 0.750 0.750 0.750

Computed properties:
Size of the total moment in μB/f.u.: 6.28
Offset from the most stable computed form in meV per atom: 0

2.
A relaxed CsCu3OsS4 crystal, computed with PBE-GGA.

Cell: 6.057 6.057 6.057 Å, 90.00 90.00 90.00°
Positions (direct):
Cs1 0.000 0.000 0.000
Cu1 0.500 0.500 0.000
Cu2 0.500 0.000 0.500
Cu3 0.000 0.500 0.500
Os1 0.500 0.500 0.500
S1 0.289 0.289 0.289
S2 0.711 0.711 0.289
S3 0.711 0.289 0.711
S4 0.289 0.711 0.711

Computed properties:
Size of the total moment in μB/f.u.: 0.00
Final energy in eV per atom: -4.481

3.
A relaxed LiZrS2 crystal, computed with PBE-GGA.

Cell: 7.677 8.484 5.117 Å, 90.00 90.00 90.00°
Positions (direct):
Li1 0.915 0.113 0.059
Li2 0.415 0.387 0.059
Li3 0.585 0.613 0.559
Li4 0.085 0.887 0.559
S1 0.588 0.140 0.059
S2 0.088 0.360 0.059
S3 0.601 0.626 0.059
S4 0.101 0.874 0.059
S5 0.912 0.640 0.559
S6 0.412 0.860 0.559
S7 0.899 0.126 0.559
S8 0.399 0.374 0.559
Zr1 0.930 0.618 0.059
Zr2 0.430 0.882 0.059
Zr3 0.570 0.118 0.559
Zr4 0.070 0.382 0.559

Computed properties:
Size of the total moment in μB/f.u.: 0.00
Final energy in eV per atom: -6.066